An optimized crystal structure of KWN2F. Source: Alexandria via LeMat-Bulk, functional PBE with a Hubbard U.

Cell: 4.311 4.311 4.282 Å, 90.00 90.00 90.00°
Atoms (fractional coordinates):
K1 0.000 0.000 0.000
N1 0.000 0.500 0.000
N2 0.500 0.000 0.000
W1 0.500 0.500 0.500
F1 0.000 0.000 0.500

E   -17.0 eV/cell
Total magnetic moment   2.0 μB/f.u.